1.
Compound: Tl2Pd5Pb2
Source: Alexandria
Functional: PBE
Structure: optimized geometry

The structure in POSCAR format:
```
Tl2Pd5Pb2
1.0
3.233 0.000 0.000
-0.011 7.108 0.000
-1.589 -1.513 9.593
Tl Pd Pb
2 5 2
Direct
0.162 0.182 0.317
0.838 0.818 0.683
0.000 0.000 0.000
0.055 0.397 0.112
0.298 0.111 0.598
0.702 0.889 0.402
0.945 0.603 0.888
0.437 0.266 0.871
0.563 0.734 0.129
```

**Offset from the most stable computed form**: 75 meV per atom
**Volume**: 220 Å³/f.u.

***

2.
Compound: Tl3PdPb
Source: Alexandria
Functional: PBE
Structure: optimized geometry

The structure in POSCAR format:
```
Tl3PdPb
1.0
9.315 -1.822 0.000
9.315 1.822 0.000
-2.690 0.000 8.127
Tl Pd Pb
6 2 2
Direct
0.103 0.103 0.086
0.213 0.213 0.819
0.324 0.324 0.573
0.676 0.676 0.427
0.787 0.787 0.181
0.897 0.897 0.914
0.080 0.080 0.525
0.920 0.920 0.475
0.477 0.477 0.281
0.523 0.523 0.719
```

**Offset from the most stable computed form**: 0 meV per atom
**Volume**: 138 Å³/f.u.

***

3.
Compound: Tl2Pd3Pb
Source: Alexandria
Functional: PBE
Structure: optimized geometry

The structure in POSCAR format:
```
Tl2Pd3Pb
1.0
4.199 -7.147 0.000
4.199 7.147 0.000
-2.702 0.000 4.012
Tl Pd Pb
4 6 2
Direct
0.087 0.913 0.750
0.258 0.742 0.250
0.742 0.258 0.750
0.913 0.087 0.250
0.000 0.500 0.500
0.139 0.312 0.973
0.312 0.139 0.473
0.500 0.000 0.000
0.688 0.861 0.527
0.861 0.688 0.027
0.420 0.580 0.750
0.580 0.420 0.250
```

**Offset from the most stable computed form**: 58 meV per atom
**Volume**: 120 Å³/f.u.

***

4.
Compound: TlPd2Pb6
Source: Alexandria
Functional: PBE
Structure: optimized geometry

The structure in POSCAR format:
```
TlPd2Pb6
1.0
-4.602 4.721 5.632
4.602 -4.721 5.632
4.602 4.721 -5.632
Tl Pd Pb
2 4 12
Direct
0.000 0.000 0.000
0.500 0.500 0.000
0.130 0.630 0.500
0.330 0.000 0.330
0.670 0.000 0.670
0.870 0.370 0.500
0.040 0.249 0.791
0.188 0.298 0.486
0.188 0.702 0.890
0.334 0.023 0.689
0.334 0.644 0.311
0.458 0.249 0.209
0.542 0.751 0.791
0.666 0.356 0.689
0.666 0.977 0.311
0.812 0.298 0.110
0.812 0.702 0.514
0.960 0.751 0.209
```

**Raw total energy**: -3.997 eV/atom
**Volume**: 245 Å³/f.u.